Record 1
Density functional theory data (GGA-PBE) for a relaxed structure of Ac3ZnAs.

abc: 5.9588 5.9588 5.9588
angles: 90.00 90.00 90.00
Fractional coordinates of all 5 atoms:
1 Zn 0.5000 0.5000 0.5000
2 As 0.0000 0.0000 0.0000
3 Ac 0.5000 0.0000 0.0000
4 Ac 0.0000 0.0000 0.5000
5 Ac 0.0000 0.5000 0.0000

Summary:
Electronic total energy, eV/cell: -19.29
Volume, Å³ per atom: 42.3
N(E_F), states/eV/cell: 7.66
Formation enthalpy at 0 K, eV per atom: -0.21


Record 2
Density functional theory data (GGA-PBE) for a relaxed structure of AcZn4As.

abc: 5.6224 5.6224 5.6224
angles: 60.00 60.00 60.00
Fractional coordinates of all 6 atoms:
1 As 0.0000 0.0000 0.0000
2 Zn 0.1182 0.6273 0.6273
3 Zn 0.6273 0.6273 0.6273
4 Zn 0.6273 0.1182 0.6273
5 Zn 0.6273 0.6273 0.1182
6 Ac 0.2500 0.2500 0.2500

Summary:
Electronic total energy, eV/cell: -14.49
Volume, Å³ per atom: 20.9
N(E_F), states/eV/cell: 2.36
Formation enthalpy at 0 K, eV per atom: -0.11


Record 3
Density functional theory data (GGA-PBE) for a relaxed structure of AcZnAs3.

abc: 4.9454 4.9454 4.9454
angles: 90.00 90.00 90.00
Fractional coordinates of all 5 atoms:
1 As 0.0000 0.0000 0.5000
2 As 0.0000 0.5000 0.0000
3 As 0.5000 0.0000 0.0000
4 Ac 0.5000 0.5000 0.5000
5 Zn 0.0000 0.0000 0.0000

Summary:
Electronic total energy, eV/cell: -20.80
Volume, Å³ per atom: 24.2
N(E_F), states/eV/cell: 2.25
Formation enthalpy at 0 K, eV per atom: -0.29


Record 4
Density functional theory data (GGA-PBE) for a relaxed structure of AcZnAs4.

abc: 5.7939 5.7939 5.7939
angles: 60.00 60.00 60.00
Fractional coordinates of all 6 atoms:
1 As 0.6325 0.6325 0.1026
2 As 0.6325 0.1026 0.6325
3 As 0.6325 0.6325 0.6325
4 As 0.1026 0.6325 0.6325
5 Ac 0.2500 0.2500 0.2500
6 Zn 0.0000 0.0000 0.0000

Summary:
Electronic total energy, eV/cell: -25.41
Volume, Å³ per atom: 22.9
N(E_F), states/eV/cell: 2.97
Formation enthalpy at 0 K, eV per atom: -0.24


The lowest N(E_F) belongs to which entry?
AcZnAs3


Please write out number 1 again, unchanged.
Density functional theory data (GGA-PBE) for a relaxed structure of Ac3ZnAs.

abc: 5.9588 5.9588 5.9588
angles: 90.00 90.00 90.00
Fractional coordinates of all 5 atoms:
1 Zn 0.5000 0.5000 0.5000
2 As 0.0000 0.0000 0.0000
3 Ac 0.5000 0.0000 0.0000
4 Ac 0.0000 0.0000 0.5000
5 Ac 0.0000 0.5000 0.0000

Summary:
Electronic total energy, eV/cell: -19.29
Volume, Å³ per atom: 42.3
N(E_F), states/eV/cell: 7.66
Formation enthalpy at 0 K, eV per atom: -0.21


What is the volume in the second record?
20.9 Å³ per atom


Repeat the third record exactly.
Density functional theory data (GGA-PBE) for a relaxed structure of AcZnAs3.

abc: 4.9454 4.9454 4.9454
angles: 90.00 90.00 90.00
Fractional coordinates of all 5 atoms:
1 As 0.0000 0.0000 0.5000
2 As 0.0000 0.5000 0.0000
3 As 0.5000 0.0000 0.0000
4 Ac 0.5000 0.5000 0.5000
5 Zn 0.0000 0.0000 0.0000

Summary:
Electronic total energy, eV/cell: -20.80
Volume, Å³ per atom: 24.2
N(E_F), states/eV/cell: 2.25
Formation enthalpy at 0 K, eV per atom: -0.29